No. 1
{
  "formula": "MoIrSe2N",
  "functional": "PBE",
  "state": "relaxed",
  "lattice": [[4.995, 0.000, 0.000], [0.000, 4.995, 0.000], [0.000, 0.000, 3.708]],
  "species": ["Mo", "Ir", "Se", "Se", "N"],
  "frac_coords": [[0.000, 0.000, 0.000], [0.500, 0.500, 0.500], [0.000, 0.500, 0.000], [0.500, 0.000, 0.000], [0.000, 0.000, 0.500]],
  "e_form_raw_mev_per_atom": 851,
  "e_above_lowest_polymorph_mev_per_atom": 108,
  "space_group": "P4/mmm (123)",
  "m_tot_mub_per_cell": 0.000,
  "final_energy_ev_per_cell": -30.73
}

No. 2
{
  "formula": "SrHgF3",
  "functional": "PBE",
  "state": "relaxed",
  "lattice": [[4.745, 0.000, 0.000], [0.000, 4.745, 0.000], [0.000, 0.000, 4.745]],
  "species": ["Sr", "Hg", "F", "F", "F"],
  "frac_coords": [[0.000, 0.000, 0.000], [0.500, 0.500, 0.500], [0.000, 0.000, 0.500], [0.000, 0.500, 0.000], [0.500, 0.000, 0.000]],
  "e_form_raw_mev_per_atom": -2452,
  "e_above_lowest_polymorph_mev_per_atom": 0,
  "space_group": "Pm-3m (221)",
  "m_tot_mub_per_cell": 0.703,
  "final_energy_ev_per_cell": -19.86
}